1.
Entry from Alexandria: an optimized crystal structure of OsC3 (PBE).

Lattice parameters (Å, degrees): 8.9341 8.9341 8.9341 161.93 161.93 25.66
Last column: nearest neighbours and their distance in Å.
Element x y z (fractional)
Os: 0.3373 0.3373 0.0000  4 C 2.07
Os: 0.6627 0.6627 0.0000  4 C 2.07
C: 0.0000 0.5000 0.5000  8 C 1.96-1.98
C: 0.5000 0.0000 0.5000  8 C 1.96-1.98
C: 0.2500 0.7500 0.5000  4 C 1.98, 4 Os 2.07
C: 0.7500 0.2500 0.5000  4 C 1.98, 4 Os 2.07
C: 0.0788 0.0788 0.0000  4 C 1.96
C: 0.9212 0.9212 0.0000  4 C 1.96

Summary:
- Energy relative to the elements: 2.51 eV/atom
- VASP energy: -28.9 eV/f.u.
- Spin magnetization: 0.00 μB/f.u.
- Offset from the most stable computed form: 6.30 eV/f.u.

***

2.
Entry from Alexandria: an optimized crystal structure of OsC (PBE).

Lattice parameters (Å, degrees): 3.3416 3.3416 5.5157 90.00 90.00 120.00
Last column: nearest neighbours and their distance in Å.
Element x y z (fractional)
C: 0.6679 0.3321 0.7500  3 Os 1.93
C: 0.3321 0.6679 0.2500  3 Os 1.93
Os: 0.0012 0.9988 0.7500  3 C 1.93
Os: 0.9988 0.0012 0.2500  3 C 1.93

Summary:
- Energy relative to the elements: 0.94 eV/atom
- VASP energy: -18.6 eV/f.u.
- Spin magnetization: 0.00 μB/f.u.
- Offset from the most stable computed form: 0.43 eV/f.u.

***

3.
Entry from Alexandria: an optimized crystal structure of Os3C (PBE).

Lattice parameters (Å, degrees): 2.7468 4.5625 7.9112 90.00 90.00 90.00
Last column: nearest neighbours and their distance in Å.
Element x y z (fractional)
Os: 0.5000 0.2725 0.0000  2 C 2.11
Os: 0.0000 0.7275 0.5000  2 C 2.11
Os: 0.0000 0.2361 0.3011  2 C 2.18
Os: 0.0000 0.2361 0.6989  2 C 2.18
Os: 0.5000 0.7639 0.8011  2 C 2.18
Os: 0.5000 0.7639 0.1989  2 C 2.18
C: 0.0000 0.6241 0.0000  6 Os 2.11-2.18
C: 0.5000 0.3759 0.5000  6 Os 2.11-2.18

Summary:
- Energy relative to the elements: 0.55 eV/atom
- VASP energy: -40.7 eV/f.u.
- Spin magnetization: 0.00 μB/f.u.
- Offset from the most stable computed form: 0.86 eV/f.u.

***

4.
Entry from Alexandria: an optimized crystal structure of OsC4 (PBE).

Lattice parameters (Å, degrees): 4.0931 4.0931 4.0931 109.47 109.47 109.47
Last column: nearest neighbours and their distance in Å.
Element x y z (fractional)
Os: 0.0000 0.0000 0.0000  8 C 2.05
C: 0.0000 0.5000 0.0000  2 Os 2.05
C: 0.5000 0.5000 0.5000  2 Os 2.05
C: 0.5000 0.0000 0.0000  2 Os 2.05
C: 0.0000 0.0000 0.5000  2 Os 2.05

Summary:
- Energy relative to the elements: 2.90 eV/atom
- VASP energy: -33.6 eV/f.u.
- Spin magnetization: 0.00 μB/f.u.
- Offset from the most stable computed form: 10.70 eV/f.u.

***

5.
Entry from Alexandria: an optimized crystal structure of OsC5 (PBE).

Lattice parameters (Å, degrees): 6.8361 6.8361 2.6266 90.00 90.00 156.95
Last column: nearest neighbours and their distance in Å.
Element x y z (fractional)
Os: 0.0029 0.9971 0.0000  6 C 2.05-2.14
C: 0.6862 0.3138 0.5000  4 C 1.54-1.67
C: 0.6255 0.3745 0.0000  2 C 1.54
C: 0.4448 0.5552 0.5000  4 Os 2.05, 2 C 2.17
C: 0.3161 0.6839 0.0000  2 C 1.53
C: 0.2579 0.7421 0.5000  4 C 1.53-1.67

Summary:
- Energy relative to the elements: 1.28 eV/atom
- VASP energy: -49.7 eV/f.u.
- Spin magnetization: 0.18 μB/f.u.
- Offset from the most stable computed form: 1.53 eV/f.u.

***

6.
Entry from Alexandria: an optimized crystal structure of Os2C3 (PBE).

Lattice parameters (Å, degrees): 7.5041 6.4054 5.5898 77.12 56.32 46.57
Last column: nearest neighbours and their distance in Å.
Element x y z (fractional)
Os: 0.7130 0.1445 0.9560  3 C 1.83-2.00
Os: 0.1864 0.9560 0.1445  3 C 1.83-2.00
Os: 0.2940 0.0636 0.5370  3 C 1.83-2.00
Os: 0.1055 0.5370 0.0636  3 C 1.83-2.00
C: 0.6847 0.8579 0.1813  3 Os 1.92-2.05
C: 0.2761 0.1813 0.8579  3 Os 1.92-2.05
C: 0.0687 0.9739 0.5653  3 Os 1.92-2.05
C: 0.3921 0.5653 0.9739  3 Os 1.92-2.05
C: 0.1398 0.3602 0.3602  2 Os 1.83
C: 0.8898 0.1102 0.1102  2 Os 1.83

Summary:
- Energy relative to the elements: 1.25 eV/atom
- VASP energy: -43.9 eV/f.u.
- Spin magnetization: 0.00 μB/f.u.
- Offset from the most stable computed form: 0.14 eV/f.u.